Computed, not measured: a relaxed InN crystal at the PBE-GGA level of DFT.

Output
Fermi-level density of states: 0.0805 states/eV per atom
formation energy from raw total energies: 0.23 eV per atom
offset from the most stable computed form: 0.140 eV/atom

Cell lengths 6.7023, 6.7023, 6.7023 Å; angles 94.32, 94.32, 148.13 degrees
Closest atoms and distances in Å follow each position.
Atoms (fractional coordinates):
1 In 0.1129 0.7112 0.8240  4 N 2.12-2.22
2 In 0.2888 0.1129 0.4017  4 N 2.12-2.22
3 In 0.7112 0.8871 0.5983  4 N 2.12-2.22
4 In 0.8871 0.2888 0.1760  4 N 2.12-2.22
5 N 0.1197 0.2886 0.4083  4 In 2.12-2.22
6 N 0.2886 0.8803 0.1689  4 In 2.12-2.22
7 N 0.7114 0.1197 0.8311  4 In 2.12-2.22
8 N 0.8803 0.7114 0.5917  4 In 2.12-2.22

---

Computed, not measured: a relaxed InN crystal at the PBE-GGA level of DFT.

Output
Fermi-level density of states: 0.2010 states/eV per atom
formation energy from raw total energies: 0.20 eV per atom
offset from the most stable computed form: 0.106 eV/atom

Cell lengths 6.1870, 6.1870, 6.1870 Å; angles 90.00, 90.00, 90.00 degrees
Closest atoms and distances in Å follow each position.
Atoms (fractional coordinates):
1 In 0.0000 0.2500 0.5000  4 N 2.19
2 In 0.0000 0.7500 0.5000  4 N 2.19
3 In 0.2500 0.5000 0.0000  4 N 2.19
4 In 0.5000 0.0000 0.2500  4 N 2.19
5 In 0.5000 0.0000 0.7500  4 N 2.19
6 In 0.7500 0.5000 0.0000  4 N 2.19
7 N 0.0000 0.5000 0.2500  4 In 2.19
8 N 0.0000 0.5000 0.7500  4 In 2.19
9 N 0.2500 0.0000 0.5000  4 In 2.19
10 N 0.5000 0.2500 0.0000  4 In 2.19
11 N 0.5000 0.7500 0.0000  4 In 2.19
12 N 0.7500 0.0000 0.5000  4 In 2.19

---

Computed, not measured: a relaxed InN crystal at the PBE-GGA level of DFT.

Output
Fermi-level density of states: 0.2669 states/eV per atom
formation energy from raw total energies: 0.30 eV per atom
offset from the most stable computed form: 0.210 eV/atom

Cell lengths 3.3298, 3.3298, 3.3298 Å; angles 60.00, 60.00, 60.00 degrees
Closest atoms and distances in Å follow each position.
Atoms (fractional coordinates):
1 In 0.0000 0.0000 0.0000  6 N 2.35
2 N 0.5000 0.5000 0.5000  6 In 2.35

---

Computed, not measured: a relaxed InN crystal at the PBE-GGA level of DFT.

Output
Fermi-level density of states: 0.0163 states/eV per atom
formation energy from raw total energies: 0.31 eV per atom
offset from the most stable computed form: 0.223 eV/atom

Cell lengths 6.9867, 6.1071, 5.9705 Å; angles 70.68, 55.58, 53.75 degrees
Closest atoms and distances in Å follow each position.
Atoms (fractional coordinates):
1 In 0.0401 0.7099 0.0401  4 N 2.13-2.25
2 In 0.2901 0.9599 0.2901  4 N 2.13-2.25
3 In 0.7099 0.0401 0.7099  4 N 2.13-2.25
4 In 0.9599 0.2901 0.9599  4 N 2.13-2.25
5 N 0.0326 0.0326 0.7174  4 In 2.13-2.25
6 N 0.2826 0.2826 0.9674  4 In 2.13-2.25
7 N 0.7174 0.7174 0.0326  4 In 2.13-2.25
8 N 0.9674 0.9674 0.2826  4 In 2.13-2.25

---

Computed, not measured: a relaxed InN crystal at the PBE-GGA level of DFT.

Output
Fermi-level density of states: 0.1000 states/eV per atom
formation energy from raw total energies: 0.09 eV per atom
offset from the most stable computed form: 0.000 eV/atom

Cell lengths 3.5849, 3.5849, 5.7893 Å; angles 90.00, 90.00, 120.00 degrees
Closest atoms and distances in Å follow each position.
Atoms (fractional coordinates):
1 In 0.3333 0.6667 0.0000  4 N 2.18-2.19
2 In 0.6667 0.3333 0.5000  4 N 2.18-2.19
3 N 0.3333 0.6667 0.3790  4 In 2.18-2.19
4 N 0.6667 0.3333 0.8790  4 In 2.18-2.19

---

Computed, not measured: a relaxed InN crystal at the PBE-GGA level of DFT.

Output
Fermi-level density of states: 0.1155 states/eV per atom
formation energy from raw total energies: 0.10 eV per atom
offset from the most stable computed form: 0.010 eV/atom

Cell lengths 3.5735, 3.5735, 3.5735 Å; angles 60.00, 60.00, 60.00 degrees
Closest atoms and distances in Å follow each position.
Atoms (fractional coordinates):
1 In 0.0000 0.0000 0.0000  4 N 2.19
2 N 0.7500 0.7500 0.7500  4 In 2.19

---

Computed, not measured: a relaxed InN crystal at the PBE-GGA level of DFT.

Output
Fermi-level density of states: 0.1434 states/eV per atom
formation energy from raw total energies: 0.23 eV per atom
offset from the most stable computed form: 0.138 eV/atom

Cell lengths 3.6426, 11.1015, 5.2475 Å; angles 90.00, 90.00, 90.00 degrees
Closest atoms and distances in Å follow each position.
Atoms (fractional coordinates):
1 In 0.2500 0.1003 0.1200  4 N 2.18-2.21
2 In 0.2500 0.3997 0.1200  4 N 2.18-2.21
3 In 0.2500 0.7500 0.3762  4 N 2.16-2.20
4 In 0.7500 0.2500 0.6238  4 N 2.16-2.20
5 In 0.7500 0.6003 0.8800  4 N 2.18-2.21
6 In 0.7500 0.8997 0.8800  4 N 2.18-2.21
7 N 0.2500 0.2500 0.3879  4 In 2.18-2.20
8 N 0.2500 0.5987 0.1167  4 In 2.16-2.21
9 N 0.2500 0.9013 0.1167  4 In 2.16-2.21
10 N 0.7500 0.0987 0.8833  4 In 2.16-2.21
11 N 0.7500 0.4013 0.8833  4 In 2.16-2.21
12 N 0.7500 0.7500 0.6121  4 In 2.18-2.20

---

Computed, not measured: a relaxed InN crystal at the PBE-GGA level of DFT.

Output
Fermi-level density of states: 0.1425 states/eV per atom
formation energy from raw total energies: 0.39 eV per atom
offset from the most stable computed form: 0.301 eV/atom

Cell lengths 10.0746, 3.4726, 6.3493 Å; angles 90.00, 90.00, 90.00 degrees
Closest atoms and distances in Å follow each position.
Atoms (fractional coordinates):
1 In 0.0000 0.0179 0.0000  4 N 2.19-2.23
2 In 0.2040 0.3567 0.7069  4 N 2.16-2.33
3 In 0.2960 0.6433 0.2069  4 N 2.16-2.33
4 In 0.5000 0.9821 0.5000  4 N 2.19-2.23
5 In 0.7040 0.6433 0.2069  4 N 2.16-2.33
6 In 0.7960 0.3567 0.7069  4 N 2.16-2.33
7 N 0.0000 0.5217 0.7825  4 In 2.19-2.23
8 N 0.2103 0.1421 0.0552  4 In 2.16-2.33
9 N 0.2897 0.8579 0.5552  4 In 2.16-2.33
10 N 0.5000 0.4783 0.2825  4 In 2.19-2.23
11 N 0.7103 0.8579 0.5552  4 In 2.16-2.33
12 N 0.7897 0.1421 0.0552  4 In 2.16-2.33

---

Computed, not measured: a relaxed InN crystal at the PBE-GGA level of DFT.

Output
Fermi-level density of states: 0.1398 states/eV per atom
formation energy from raw total energies: 0.27 eV per atom
offset from the most stable computed form: 0.179 eV/atom

Cell lengths 5.9392, 5.9392, 5.9392 Å; angles 109.47, 109.47, 109.47 degrees
Closest atoms and distances in Å follow each position.
Atoms (fractional coordinates):
1 In 0.0000 0.0000 0.3312  4 N 2.08-2.23
2 In 0.0000 0.3312 0.0000  4 N 2.08-2.23
3 In 0.3312 0.0000 0.0000  4 N 2.08-2.23
4 In 0.6688 0.6688 0.6688  4 N 2.08-2.23
5 N 0.0000 0.0000 0.6814  4 In 2.08-2.23
6 N 0.0000 0.6814 0.0000  4 In 2.08-2.23
7 N 0.3186 0.3186 0.3186  4 In 2.08-2.23
8 N 0.6814 0.0000 0.0000  4 In 2.08-2.23

---

Computed, not measured: a relaxed InN crystal at the PBE-GGA level of DFT.

Output
Fermi-level density of states: 0.0476 states/eV per atom
formation energy from raw total energies: 0.21 eV per atom
offset from the most stable computed form: 0.115 eV/atom

Cell lengths 8.5593, 8.5593, 3.6703 Å; angles 90.00, 90.00, 120.00 degrees
Closest atoms and distances in Å follow each position.
Atoms (fractional coordinates):
1 In 0.0820 0.6764 0.2500  4 N 2.12-2.27
2 In 0.3236 0.4056 0.2500  4 N 2.12-2.27
3 In 0.4056 0.0820 0.7500  4 N 2.12-2.27
4 In 0.5944 0.9180 0.2500  4 N 2.12-2.27
5 In 0.6764 0.5944 0.7500  4 N 2.12-2.27
6 In 0.9180 0.3236 0.7500  4 N 2.12-2.27
7 N 0.0777 0.4089 0.2500  4 In 2.12-2.27
8 N 0.3312 0.9223 0.2500  4 In 2.12-2.27
9 N 0.4089 0.3312 0.7500  4 In 2.12-2.27
10 N 0.5911 0.6688 0.2500  4 In 2.12-2.27
11 N 0.6688 0.0777 0.7500  4 In 2.12-2.27
12 N 0.9223 0.5911 0.7500  4 In 2.12-2.27

---

Computed, not measured: a relaxed InN crystal at the PBE-GGA level of DFT.

Output
Fermi-level density of states: 0.6558 states/eV per atom
formation energy from raw total energies: 0.31 eV per atom
offset from the most stable computed form: 0.219 eV/atom

Cell lengths 9.7169, 9.7169, 3.7079 Å; angles 90.00, 90.00, 90.00 degrees
Closest atoms and distances in Å follow each position.
Atoms (fractional coordinates):
1 In 0.1103 0.3824 0.0000  4 N 2.14-2.34
2 In 0.2237 0.6259 0.5000  4 N 2.13-2.32
3 In 0.3741 0.2237 0.5000  4 N 2.13-2.32
4 In 0.3824 0.8897 0.0000  4 N 2.14-2.34
5 In 0.6176 0.1103 0.0000  4 N 2.14-2.34
6 In 0.6259 0.7763 0.5000  4 N 2.13-2.32
7 In 0.7763 0.3741 0.5000  4 N 2.13-2.32
8 In 0.8897 0.6176 0.0000  4 N 2.14-2.34
9 N 0.1098 0.6234 0.0000  4 In 2.14-2.34
10 N 0.2276 0.3873 0.5000  4 In 2.13-2.32
11 N 0.3766 0.1098 0.0000  4 In 2.14-2.34
12 N 0.3873 0.7724 0.5000  4 In 2.13-2.32
13 N 0.6127 0.2276 0.5000  4 In 2.13-2.32
14 N 0.6234 0.8902 0.0000  4 In 2.14-2.34
15 N 0.7724 0.6127 0.5000  4 In 2.13-2.32
16 N 0.8902 0.3766 0.0000  4 In 2.14-2.34

---

Computed, not measured: a relaxed InN crystal at the PBE-GGA level of DFT.

Output
Fermi-level density of states: 0.0473 states/eV per atom
formation energy from raw total energies: 0.31 eV per atom
offset from the most stable computed form: 0.216 eV/atom

Cell lengths 6.3661, 6.3710, 7.3928 Å; angles 90.00, 90.00, 90.00 degrees
Closest atoms and distances in Å follow each position.
Atoms (fractional coordinates):
1 In 0.1630 0.0792 0.2793  4 N 2.16-2.23
2 In 0.1940 0.4035 0.9741  4 N 2.10-2.24
3 In 0.3060 0.5965 0.4741  4 N 2.10-2.24
4 In 0.3370 0.9208 0.7793  4 N 2.16-2.23
5 In 0.6630 0.4208 0.7207  4 N 2.16-2.23
6 In 0.6940 0.0965 0.0259  4 N 2.10-2.24
7 In 0.8060 0.9035 0.5259  4 N 2.10-2.24
8 In 0.8370 0.5792 0.2207  4 N 2.16-2.23
9 N 0.1445 0.4279 0.2730  4 In 2.10-2.24
10 N 0.1578 0.9065 0.5307  4 In 2.16-2.24
11 N 0.3422 0.0935 0.0307  4 In 2.16-2.24
12 N 0.3555 0.5721 0.7730  4 In 2.10-2.24
13 N 0.6445 0.0721 0.7270  4 In 2.10-2.24
14 N 0.6578 0.5935 0.4693  4 In 2.16-2.24
15 N 0.8422 0.4065 0.9693  4 In 2.16-2.24
16 N 0.8555 0.9279 0.2270  4 In 2.10-2.24